[1]
Entry from Alexandria via LeMat-Bulk: an optimized crystal structure of AlHgSe2 (PBE-GGA).

a b c (Å): 6.7019 7.6571 8.6121
angles (deg): 90.00 90.00 90.00
Closest atoms and distances in Å follow each position.
Fractional coordinates of all 16 atoms:
Al  0.9875  0.4972  0.8812  4 Se 2.38-2.51
Al  0.4875  0.0028  0.3812  4 Se 2.38-2.51
Al  0.4875  0.5028  0.1188  4 Se 2.38-2.51
Al  0.9875  0.9972  0.6188  4 Se 2.38-2.51
Hg  0.0848  0.1426  0.0688  3 Se 2.86-3.17
Hg  0.5848  0.8574  0.9312  3 Se 2.86-3.17
Hg  0.5848  0.3574  0.5688  3 Se 2.86-3.17
Hg  0.0848  0.6426  0.4312  3 Se 2.86-3.17
Se  0.3414  0.4779  0.8661  2 Al 2.38-2.39
Se  0.8414  0.5221  0.1339  2 Al 2.38-2.39
Se  0.8414  0.0221  0.3661  2 Al 2.38-2.39
Se  0.3414  0.9779  0.6339  2 Al 2.38-2.39
Se  0.3392  0.7905  0.1986  2 Al 2.47-2.51
Se  0.3392  0.2905  0.3014  2 Al 2.47-2.51
Se  0.8392  0.7095  0.6986  2 Al 2.47-2.51
Se  0.8392  0.2095  0.8014  2 Al 2.47-2.51

Calculated values
space-group type = Pna2_1



[2]
Entry from Alexandria via LeMat-Bulk: an optimized crystal structure of AlHgSe2 (PBE-GGA).

a b c (Å): 8.1452 8.1452 8.1452
angles (deg): 26.46 26.46 26.46
Closest atoms and distances in Å follow each position.
Fractional coordinates of all 4 atoms:
Hg  0.7554  0.7554  0.7554  3 Se 2.76, 3 Al 2.91
Se  0.0151  0.0151  0.0151  3 Hg 2.76
Se  0.2245  0.2245  0.2245  3 Al 2.49
Al  0.5050  0.5050  0.5050  3 Se 2.49

Calculated values
space-group type = R3m



| no. | distance to the lowest polymorph of the same formula (meV per atom) | total DFT energy (no corrections) (Ha/atom) |
| --- | --- | --- |
| 1 | 78 | -0.1178 |
| 2 | 371 | -0.1071 |